The following is a PBE calculation of Na3Tl2Hg3 after structural relaxation, from Alexandria.

Summary:
For the size of the total moment, the calculation gives 0.0 μB/f.u. Its formation energy is -182.8 meV per atom. The calculation puts the uncorrected energy at -1.382 eV per atom. The calculation puts the energy above the lowest structure with this stoichiometry at 0.0 meV/atom.

Cell lengths 21.0776, 4.2020, 5.0084 Å; angles 90.00, 103.43, 90.00 degrees
With the nearest neighbours (Å) after each atom.
Space group C2/m (No. 12)
One atom of each set of equivalent atoms:
Na: 0.0000 0.0000 0.0000 [2 per cell]  8 Hg 3.16-3.27
Na: 0.1246 0.0000 0.6224 [4 per cell]  6 Hg 3.27-3.31, 4 Tl 3.43-3.47, 2 Na 3.57-3.58
Tl: 0.2405 0.0000 0.2406 [4 per cell]  4 Tl 3.29, 2 Hg 3.32, 4 Na 3.43-3.47
Hg: 0.0000 0.5000 0.5000 [2 per cell]  8 Na 3.27-3.31, 4 Hg 3.44-3.45
Hg: 0.1151 0.5000 0.1113 [4 per cell]  6 Na 3.16-3.28, 2 Tl 3.32, 2 Hg 3.44-3.45